VASP calculation (meta-GGA SCAN) on a crystal of Na7Mg relaxed with PBEsol.

The calculation puts the formation energy at 52 meV per atom. As for the spin magnetization: 0.00 μB per atom. The value obtained for the density of states at the Fermi level is 4.0 states/eV/f.u.

It has space group Fm-3m (No. 225), with a = 10.2418 Å, b = 10.2418 Å, c = 10.2418 Å, α = 90.00°, β = 90.00° and γ = 90.00°. The asymmetric unit holds Na at (0.0000, 0.0000, 0.0000), Na at (0.0000, 0.2500, 0.2500) and Mg at (0.0000, 0.0000, 0.5000).


VASP calculation (meta-GGA SCAN) on a crystal of K3Cu8Se6 relaxed with PBEsol.

As for the formation energy without anion corrections: -0.531 eV/atom. As for the spin magnetization: 0.00 μB per atom. The value obtained for the density of states at the Fermi level is 5.7 states/eV/f.u.

It has space group C2/m (No. 12), with a = 17.6771 Å, b = 3.9072 Å, c = 9.9453 Å, α = 90.00°, β = 105.62° and γ = 90.00°. The asymmetric unit holds K at (0.0000, 0.0000, 0.0000), K at (0.1917, 0.0000, 0.3014), Cu at (0.0147, 0.0000, 0.6356), Cu at (0.0779, 0.5000, 0.5275), Cu at (0.1038, 0.5000, 0.7829), Cu at (0.1972, 0.0000, 0.9106), Se at (0.0404, 0.5000, 0.2822), Se at (0.1557, 0.0000, 0.6476) and Se at (0.1588, 0.5000, 0.0263).


VASP calculation (meta-GGA SCAN) on a crystal of K3SeO relaxed with PBEsol.

As for the formation energy without anion corrections: -1.104 eV/atom. As for the spin magnetization: 0.21 μB per atom. The value obtained for the density of states at the Fermi level is 8.8 states/eV/f.u.

It has space group Pm-3m (No. 221), with a = 5.1324 Å, b = 5.1324 Å, c = 5.1324 Å, α = 90.00°, β = 90.00° and γ = 90.00°. The asymmetric unit holds K at (0.0000, 0.0000, 0.5000), Se at (0.5000, 0.5000, 0.5000) and O at (0.0000, 0.0000, 0.0000).


VASP calculation (meta-GGA SCAN) on a crystal of ZrTiMo2 relaxed with PBEsol.

The calculation puts the formation energy at 50 meV per atom. As for the spin magnetization: 0.00 μB per atom. The value obtained for the density of states at the Fermi level is 6.1 states/eV/f.u.

It has space group Fm-3m (No. 225), with a = 6.4215 Å, b = 6.4215 Å, c = 6.4215 Å, α = 90.00°, β = 90.00° and γ = 90.00°. The asymmetric unit holds Zr at (0.0000, 0.0000, 0.0000), Ti at (0.0000, 0.0000, 0.5000) and Mo at (0.2500, 0.2500, 0.2500).


VASP calculation (meta-GGA SCAN) on a crystal of GaAuCl2F relaxed with PBEsol.

As for the formation energy without anion corrections: -0.183 eV/atom. As for the spin magnetization: 0.00 μB per atom. The value obtained for the density of states at the Fermi level is 0.7 states/eV/f.u.

It has space group P4/mmm (No. 123), with a = 5.2668 Å, b = 5.2668 Å, c = 3.6601 Å, α = 90.00°, β = 90.00° and γ = 90.00°. The asymmetric unit holds Ga at (0.0000, 0.0000, 0.0000), Au at (0.5000, 0.5000, 0.0000), Cl at (0.0000, 0.5000, 0.5000) and F at (0.0000, 0.0000, 0.5000).


VASP calculation (meta-GGA SCAN) on a crystal of Ca5V3O13 relaxed with PBEsol.

As for the formation energy without anion corrections: -3.038 eV/atom. As for the spin magnetization: 0.05 μB per atom.

It has space group P6_3/m (No. 176), with a = 9.8047 Å, b = 9.8047 Å, c = 6.8744 Å, α = 90.00°, β = 90.00° and γ = 120.00°. The asymmetric unit holds Ca at (0.0119, 0.2507, 0.2500), Ca at (0.3333, 0.6667, 0.5022), V at (0.0304, 0.6274, 0.2500), O at (0.0000, 0.0000, 0.2500), O at (0.0888, 0.7505, 0.0540), O at (0.1370, 0.5303, 0.2500) and O at (0.1671, 0.5000, 0.7500).


Q: Among the records above, which one has the highest spin magnetization?
A: K3SeO